Version P
Compound: Er5Lu2Ni2Te2
Source: OQMD
Functional: PBE
Structure: optimized geometry

Cell: 9.2282 9.2282 9.2282 Å, 156.09 67.12 118.33°
Element x y z (fractional)
1 Te 0.7339 0.2339 0.5000
2 Er 0.3759 0.7293 0.6466
3 Te 0.3388 0.3388 0.0000
4 Er 0.0004 0.0004 0.0000
5 Er 0.7169 0.5823 0.1346
6 Er 0.4477 0.5823 0.8654
7 Er 0.0827 0.7293 0.3534
8 Lu 0.0623 0.3769 0.6853
9 Ni 0.3051 0.0690 0.2361
10 Ni 0.8329 0.0690 0.7639
11 Lu 0.6916 0.3769 0.3147

Output
Its space group is Imm2. As for the crystal system: orthorhombic.

---

Version Q
Compound: Er5Lu2Ni2Te2
Source: OQMD
Functional: PBE
Structure: optimized geometry

Cell: 9.2123 9.2123 9.2123 Å, 156.07 67.17 118.29°
Element x y z (fractional)
1 Te 0.6612 0.6612 0.0000
2 Er 0.2831 0.4177 0.8654
3 Er 0.5523 0.4177 0.1346
4 Ni 0.1666 0.9306 0.2360
5 Er 0.3087 0.6232 0.6855
6 Lu 0.9174 0.2709 0.6465
7 Er 0.9993 0.9993 0.0000
8 Te 0.2665 0.7665 0.5000
9 Ni 0.6945 0.9306 0.7640
10 Lu 0.6244 0.2709 0.3535
11 Er 0.9377 0.6232 0.3145

Output
Its space group is Imm2. As for the crystal system: orthorhombic.

---

Computed stability ranking, most favorable first: version P, version Q

---

Version P
Compound: Er3Lu4Ni2Te2
Source: OQMD
Functional: PBE
Structure: optimized geometry

Cell: 9.1939 9.1939 9.1939 Å, 156.04 67.21 118.26°
Element x y z (fractional)
1 Er 0.9173 0.2706 0.6467
2 Lu 0.2826 0.4176 0.8650
3 Lu 0.5526 0.4176 0.1350
4 Er 0.6238 0.2706 0.3533
5 Te 0.6603 0.6603 0.0000
6 Er 0.9997 0.9997 0.0000
7 Lu 0.3086 0.6232 0.6853
8 Ni 0.1676 0.9310 0.2366
9 Te 0.2670 0.7670 0.5000
10 Ni 0.6944 0.9310 0.7634
11 Lu 0.9379 0.6232 0.3147

Output
Its space group is Imm2. As for the crystal system: orthorhombic.

---

Version Q
Compound: Er3Lu4Ni2Te2
Source: OQMD
Functional: PBE
Structure: optimized geometry

Cell: 9.1916 9.1916 9.1916 Å, 156.08 67.21 118.25°
Element x y z (fractional)
1 Lu 0.5525 0.4178 0.1346
2 Te 0.6605 0.6605 0.0000
3 Lu 0.2832 0.4178 0.8654
4 Er 0.3089 0.6235 0.6854
5 Lu 0.6244 0.2708 0.3535
6 Ni 0.1665 0.9301 0.2364
7 Er 0.9993 0.9993 0.0000
8 Lu 0.9173 0.2708 0.6465
9 Ni 0.6937 0.9301 0.7636
10 Er 0.9381 0.6235 0.3146
11 Te 0.2674 0.7674 0.5000

Output
Its space group is Imm2. As for the crystal system: orthorhombic.

---

Computed stability ranking, most favorable first: version P, version Q

---

Version P
Compound: Er4Lu3Ni2Te2
Source: OQMD
Functional: PBE
Structure: optimized geometry

Cell: 9.2161 9.2161 9.2161 Å, 156.16 67.28 118.14°
Element x y z (fractional)
1 Ni 0.6927 0.9301 0.7626
2 Lu 0.5527 0.4180 0.1347
3 Ni 0.1675 0.9301 0.2374
4 Er 0.9171 0.2713 0.6458
5 Te 0.6596 0.6596 0.0000
6 Lu 0.9997 0.9997 0.0000
7 Te 0.2676 0.7676 0.5000
8 Er 0.9384 0.6231 0.3153
9 Er 0.6255 0.2713 0.3542
10 Lu 0.2833 0.4180 0.8653
11 Er 0.3078 0.6231 0.6847

Output
Its space group is Imm2. As for the crystal system: orthorhombic.

---

Version Q
Compound: Er4Lu3Ni2Te2
Source: OQMD
Functional: PBE
Structure: optimized geometry

Cell: 9.2352 9.2352 9.2352 Å, 156.14 67.17 118.26°
Element x y z (fractional)
1 Ni 0.1671 0.9312 0.2359
2 Er 0.2835 0.4179 0.8657
3 Lu 0.9378 0.6226 0.3152
4 Lu 0.9996 0.9996 0.0000
5 Er 0.9174 0.2711 0.6463
6 Er 0.6249 0.2711 0.3537
7 Er 0.5522 0.4179 0.1343
8 Te 0.2651 0.7651 0.5000
9 Ni 0.6952 0.9312 0.7641
10 Lu 0.3074 0.6226 0.6848
11 Te 0.6617 0.6617 0.0000

Output
Its space group is Imm2. As for the crystal system: orthorhombic.

---

Computed stability ranking, most favorable first: version Q, version P